1.
Computed, not measured: CdTc2Cl after structural relaxation at the PBE-GGA level of DFT.

```
CdTc2Cl
1.0
2.9840 0.0000 0.0000
0.0000 2.9840 0.0000
0.0000 0.0000 8.0500
Cd Cl Tc
1 1 2
direct
0.0000 0.0000 0.4640
0.5000 0.5000 0.7989
0.0000 0.0000 0.0272
0.5000 0.5000 0.2099
```

Output
The space-group type is P4mm (99). The value obtained for the energy above the most stable polymorph in this dataset is 85 meV per atom. For the formation energy without anion corrections, the calculation gives 0.072 eV per atom.

2.
Computed, not measured: Ac3Pm5H12 after structural relaxation at the PBE-GGA level of DFT.

```
Ac3Pm5H12
1.0
-6.0788 -10.4889 -0.6867
11.1252 -2.0508 4.4119
-5.9242 7.6378 7.3491
Pm Ac H
20 12 48
direct
0.5000 0.0000 0.0000
0.2500 0.8750 0.1250
0.8750 0.2500 0.6250
0.5000 0.5000 0.5000
0.8750 0.6250 0.7500
0.5000 0.5000 0.0000
0.1250 0.3750 0.2500
0.0000 0.0000 0.5000
0.1250 0.7500 0.3750
0.0000 0.5000 0.0000
0.2500 0.3750 0.6250
0.7500 0.1250 0.8750
0.0000 0.5000 0.5000
0.5000 0.0000 0.5000
0.3750 0.1250 0.7500
0.6250 0.7500 0.8750
0.7500 0.6250 0.3750
0.0000 0.0000 0.0000
0.3750 0.2500 0.1250
0.6250 0.8750 0.2500
0.3750 0.6250 0.2500
0.6250 0.2500 0.3750
0.1250 0.2500 0.8750
0.7500 0.8750 0.6250
0.3750 0.7500 0.6250
0.2500 0.6250 0.8750
0.2500 0.1250 0.3750
0.6250 0.3750 0.7500
0.8750 0.7500 0.1250
0.8750 0.1250 0.2500
0.7500 0.3750 0.1250
0.1250 0.8750 0.7500
0.0566 0.4155 0.8383
0.4434 0.7816 0.8588
0.9155 0.8383 0.5566
0.5566 0.2184 0.1412
0.0772 0.9155 0.3588
0.7184 0.1412 0.0566
0.2816 0.4228 0.8383
0.0845 0.9228 0.1412
0.3588 0.9434 0.7816
0.4228 0.1412 0.5845
0.3383 0.5566 0.4155
0.6617 0.4434 0.5845
0.4228 0.2816 0.3383
0.4155 0.0566 0.3383
0.2184 0.6617 0.0772
0.8383 0.9228 0.2816
0.8588 0.2816 0.4434
0.7184 0.5772 0.1617
0.7816 0.4434 0.3588
0.5566 0.3383 0.9155
0.5772 0.8588 0.4155
0.0845 0.1617 0.4434
0.2184 0.5566 0.6412
0.1617 0.0845 0.9434
0.4434 0.6617 0.0845
0.9155 0.0772 0.8588
0.1412 0.7184 0.5566
0.1617 0.0772 0.7184
0.1412 0.4228 0.0845
0.6412 0.0566 0.2184
0.7816 0.3383 0.9228
0.0566 0.6412 0.7184
0.4155 0.3588 0.5772
0.5845 0.6412 0.4228
0.3383 0.7816 0.4228
0.5845 0.9434 0.6617
0.9228 0.0845 0.6412
0.5772 0.7184 0.6617
0.8383 0.9155 0.0566
0.2816 0.8588 0.9434
0.6617 0.2184 0.5772
0.3588 0.4155 0.0772
0.0772 0.1617 0.2184
0.9434 0.5845 0.1617
0.9228 0.8383 0.7816
0.6412 0.5845 0.9228
0.9434 0.3588 0.2816
0.8588 0.5772 0.9155
```

Output
The space-group type is Ia-3d (230). For the uncorrected energy, the calculation gives -4.2356 eV/atom.

3.
Computed, not measured: Mg2SbPd5 after structural relaxation at the PBE-GGA level of DFT.

```
Mg2SbPd5
1.0
-1.1185 5.9536 -3.5946
-6.7738 -1.7575 -0.8031
2.7425 0.4452 6.7857
Mg Pd Sb
4 10 2
direct
0.6486 0.1486 0.0000
0.1486 0.3514 0.0000
0.3514 0.8514 0.0000
0.8514 0.6486 0.0000
0.3080 0.8080 0.3195
0.4885 0.6920 0.6805
0.5115 0.3080 0.3195
0.6920 0.1920 0.6805
0.1920 0.9885 0.6805
0.0000 0.0000 0.0000
0.0115 0.5115 0.3195
0.9885 0.4885 0.6805
0.5000 0.5000 0.0000
0.8080 0.0115 0.3195
0.7500 0.7500 0.5000
0.2500 0.2500 0.5000
```

Output
The space-group type is I4/mcm (140). The value obtained for the energy above the most stable polymorph in this dataset is 140 meV per atom. For the formation energy without anion corrections, the calculation gives -0.501 eV per atom.

4.
Computed, not measured: Tm5SnOs after structural relaxation at the PBE-GGA level of DFT.

```
Tm5SnOs
1.0
6.3229 0.3384 -0.1348
2.3269 5.8889 -0.1348
3.0012 2.1607 10.5304
Os Tm Sn
2 10 2
direct
0.0000 0.0000 0.0000
0.0000 0.0000 0.5000
0.4041 0.0356 0.3606
0.4623 0.7847 0.9572
0.0356 0.4041 0.8606
0.5959 0.9644 0.6394
0.9699 0.0301 0.2500
0.9644 0.5959 0.1394
0.5377 0.2153 0.0428
0.0301 0.9699 0.7500
0.2153 0.5377 0.5428
0.7847 0.4623 0.4572
0.5351 0.4649 0.7500
0.4649 0.5351 0.2500
```

Output
The space-group type is C2/c (15). The formation energy comes out at -1.15 eV per formula unit.

| no. | M_tot (μB/f.u.) |
| --- | --- |
| 1 | 0.0 |
| 2 | 0.0 |
| 3 | 0.0 |
| 4 | 0.0 |